Record 1
RbCuC2 | GGA-PBE | relaxed

## Properties
Density = 2.8 g cm⁻³
DOS at the Fermi energy = 0.00 states/eV per cell
Formation enthalpy at 0 K = 0.273 eV/atom
Distance to the lowest polymorph of the same formula = 0 kJ/mol of formula units
Uncorrected energy = -5.604 eV per atom
Magnetization = 0.000 μB/cell

abc: 4.9303 4.9303 8.4986
angles: 90.00 90.00 90.00
Atoms (fractional coordinates):
Rb 0.0000 0.0000 0.7500
Rb 0.0000 0.0000 0.2500
Cu 0.5000 0.5000 0.0000
Cu 0.5000 0.5000 0.5000
C 0.8727 0.5000 0.5000
C 0.5000 0.8727 0.0000
C 0.1273 0.5000 0.5000
C 0.5000 0.1273 0.0000

***

Record 2
LiNbFe3 | GGA-PBE | relaxed

## Properties
Density = 4.6 g cm⁻³
DOS at the Fermi energy = 6.12 states/eV per cell
Formation enthalpy at 0 K = 1.314 eV/atom
Distance to the lowest polymorph of the same formula = 258 kJ/mol of formula units
Uncorrected energy = -6.161 eV per atom
Magnetization = 5.297 μB/cell

abc: 4.5862 4.5862 4.5862
angles: 90.00 90.00 90.00
Each line ends with the local moment (μB).
Atoms (fractional coordinates):
Nb 0.0000 0.0000 0.0000  -0.86
Fe 0.0000 0.5000 0.0000  2.19
Fe 0.0000 0.0000 0.5000  2.25
Fe 0.5000 0.0000 0.0000  1.74
Li 0.5000 0.5000 0.5000  -0.01

***

Record 3
LiZrTiB2 | GGA-PBE | relaxed

## Properties
Density = 3.3 g cm⁻³
DOS at the Fermi energy = 2.28 states/eV per cell
Formation enthalpy at 0 K = 1.139 eV/atom
Uncorrected energy = -5.204 eV per atom
Magnetization = 0.000 μB/cell

abc: 4.3173 4.5886 4.3173
angles: 90.00 90.00 90.00
Atoms (fractional coordinates):
B 0.0000 0.0000 0.5000
B 0.5000 0.0000 0.0000
Li 0.5000 0.5000 0.5000
Zr 0.0000 0.5000 0.0000
Ti 0.0000 0.0000 0.0000

***

Record 4
K2LiS2O4F2 | GGA-PBE | relaxed

## Properties
Density = 2.1 g cm⁻³
Distance to the lowest polymorph of the same formula = 7 kJ/mol of formula units
Uncorrected energy = -5.069 eV per atom
Magnetization = 1.010 μB/cell

abc: 5.4538 5.0676 7.6840
angles: 70.99 94.01 92.58
Each line ends with the local moment (μB).
Atoms (fractional coordinates):
K 0.1563 0.8149 0.4330  0.00
K 0.6594 0.2747 0.5664  0.00
Li 0.6235 0.9081 0.1517  0.01
S 0.9423 0.4031 0.0866  0.18
S 0.1908 0.8544 0.8729  0.09
O 0.3792 0.7447 0.7886  0.07
O 0.7941 0.5651 0.1713  0.12
O 0.7898 0.2522 0.9780  0.12
O 0.2896 0.9366 0.0339  0.07
F 0.6478 0.8786 0.3952  0.00
F 0.1568 0.2634 0.5594  0.03

***

Record 5
Li5Cu7 | GGA-PBE | relaxed

## Properties
Density = 5.3 g cm⁻³
DOS at the Fermi energy = 3.27 states/eV per cell
Formation enthalpy at 0 K = -0.021 eV/atom
Uncorrected energy = -3.208 eV per atom
Magnetization = 0.000 μB/cell

abc: 4.2518 4.7091 8.8190
angles: 75.79 76.05 63.16
Atoms (fractional coordinates):
Li 0.8383 0.8298 0.4937
Li 0.1618 0.1702 0.5063
Li 0.7500 0.2588 0.2411
Li 0.2500 0.7412 0.7589
Li 0.0000 0.0000 0.0000
Cu 0.5760 0.1004 0.7476
Cu 0.4240 0.8996 0.2524
Cu 0.0921 0.5699 0.2458
Cu 0.9079 0.4300 0.7542
Cu 0.3385 0.3187 0.0043
Cu 0.5000 0.5000 0.5000
Cu 0.6615 0.6813 0.9957

***

Record 6
SrPtI | GGA-PBE | relaxed

## Properties
Density = 7.0 g cm⁻³
DOS at the Fermi energy = 1.48 states/eV per cell
Uncorrected energy = -3.626 eV per atom
Magnetization = 0.000 μB/cell

abc: 4.2485 4.5024 11.5499
angles: 90.00 90.00 118.15
Atoms (fractional coordinates):
Pt 0.4601 0.9202 0.0000
Pt 0.3062 0.6124 0.5000
I 0.8169 0.6338 0.3460
I 0.8169 0.6338 0.6540
Sr 0.1332 0.2665 0.8422
Sr 0.1332 0.2665 0.1578